1) ## Si2TcAg (PBE)

Data for a relaxed Si2TcAg crystal.

As for the volume: 16.53 A^3/atom.

It has space group Imm2 (No. 44), with a = 2.759 Å, b = 3.934 Å, c = 12.179 Å, α = 90.00°, β = 90.00° and γ = 90.00°. The asymmetric unit holds Si at (0.000, 0.000, 0.000), Si at (0.000, 0.500, 0.208), Tc at (0.000, 0.500, 0.673) and Ag at (0.000, 0.000, 0.391).

2) ## Si2TcAg (PBE)

Data for a relaxed Si2TcAg crystal.

As for the volume: 15.25 A^3/atom.

It has space group Cmm2 (No. 35), with a = 3.343 Å, b = 4.375 Å, c = 8.340 Å, α = 90.00°, β = 90.00° and γ = 90.00°. The asymmetric unit holds Si at (0.000, 0.000, 0.000), Si at (0.000, 0.500, 0.234), Tc at (0.000, 0.000, 0.449) and Ag at (0.000, 0.500, 0.734).

Which is the most stable structure? 1) is the most stable.

1) ## PtRhAu (PBE)

Data for a relaxed PtRhAu crystal.

As for the volume: 16.00 A^3/atom.

It has space group Imm2 (No. 44), with a = 2.835 Å, b = 3.964 Å, c = 8.542 Å, α = 90.00°, β = 90.00° and γ = 90.00°. The asymmetric unit holds Pt at (0.000, 0.000, 0.000), Rh at (0.000, 0.000, 0.659) and Au at (0.000, 0.000, 0.328).

2) ## PtRhAu (PBE)

Data for a relaxed PtRhAu crystal.

As for the volume: 16.15 A^3/atom.

It has space group Fmm2 (No. 42), with a = 2.775 Å, b = 4.819 Å, c = 14.498 Å, α = 90.00°, β = 90.00° and γ = 90.00°. The asymmetric unit holds Pt at (0.000, 0.000, 0.000), Rh at (0.000, 0.000, 0.660) and Au at (0.000, 0.000, 0.326).

Which is the most stable structure? 1) is the most stable.

1) ## P2AuCl (PBE)

Data for a relaxed P2AuCl crystal.

As for the volume: 18.23 A^3/atom.

It has space group C2/m (No. 12), with a = 5.753 Å, b = 7.136 Å, c = 4.559 Å, α = 90.00°, β = 128.80° and γ = 90.00°. The asymmetric unit holds P at (0.250, 0.250, 0.000), Au at (0.000, 0.000, 0.500) and Cl at (0.000, 0.500, 0.500).

2) ## P2AuCl (PBE)

Data for a relaxed P2AuCl crystal.

As for the volume: 20.21 A^3/atom.

It has space group Imm2 (No. 44), with a = 3.344 Å, b = 4.055 Å, c = 11.927 Å, α = 90.00°, β = 90.00° and γ = 90.00°. The asymmetric unit holds P at (0.000, 0.000, 0.000), P at (0.000, 0.500, 0.368), Au at (0.000, 0.000, 0.513) and Cl at (0.000, 0.500, 0.750).

Which is the most stable structure? 2) is the most stable.

1) ## SmPuSi2 (PBE)

Data for a relaxed SmPuSi2 crystal.

As for the volume: 21.88 A^3/atom.

It has space group P4/mmm (No. 123), with a = 3.804 Å, b = 3.804 Å, c = 6.048 Å, α = 90.00°, β = 90.00° and γ = 90.00°. The asymmetric unit holds Sm at (0.000, 0.000, 0.000), Pu at (0.000, 0.000, 0.500) and Si at (0.500, 0.500, 0.289).

2) ## SmPuSi2 (PBE)

Data for a relaxed SmPuSi2 crystal.

As for the volume: 22.33 A^3/atom.

It has space group R-3m (No. 166, hexagonal axes), with a = 4.8328 Å, b = 4.8328 Å, c = 13.2456 Å, α = 90.00°, β = 90.00° and γ = 120.00°. The asymmetric unit holds Sm at (0.0000, 0.0000, 0.0000), Pu at (0.0000, 0.0000, 0.5000) and Si at (0.0000, 0.0000, 0.2452).

Which is the most stable structure? 1) is the most stable.